AcEr3In | Alexandria | PBE | relaxed; ΔE_f = 3.6 kJ/mol of atoms; DOS(E_F) = 16.4 states/eV per cell
1.0
-1.977 -2.917 5.132
0.395 -6.996 -3.824
6.349 2.729 3.997
Ac Er In
2 6 2
Direct
0.750 0.667 0.333
0.250 0.333 0.667
0.750 0.617 0.809
0.250 0.809 0.617
0.250 0.383 0.191
0.750 0.191 0.383
0.250 0.809 0.191
0.750 0.191 0.809
0.000 0.000 0.000
0.500 0.000 0.000

=====

Ac2Er3In4 | Alexandria | PBE | relaxed; ΔE_f = -32.0 kJ/mol of atoms; DOS(E_F) = 18.3 states/eV per cell
1.0
-5.500 1.341 -4.370
-4.669 -6.932 3.750
-0.603 4.775 8.075
Ac Er In
4 6 8
Direct
0.110 0.580 0.220
0.890 0.420 0.780
0.390 0.080 0.780
0.610 0.920 0.220
0.000 0.000 0.000
0.500 0.500 0.000
0.531 0.750 0.562
0.969 0.250 0.438
0.469 0.250 0.438
0.031 0.750 0.562
0.707 0.750 0.913
0.793 0.250 0.087
0.293 0.250 0.087
0.207 0.750 0.913
0.182 0.962 0.364
0.818 0.038 0.636
0.318 0.462 0.636
0.682 0.538 0.364

=====

AcEr2In4 | Alexandria | PBE | relaxed; ΔE_f = -39.0 kJ/mol of atoms; DOS(E_F) = 5.1 states/eV per cell
1.0
-4.883 -0.632 -0.479
0.580 -2.094 -3.152
2.704 -7.381 7.727
Ac In Er
1 4 2
Direct
0.500 0.000 0.000
0.656 0.656 0.312
0.344 0.344 0.688
0.073 0.573 0.145
0.927 0.427 0.855
0.804 0.804 0.608
0.196 0.196 0.392

=====

AcEr5In6 | Alexandria | PBE | relaxed; ΔE_f = -39.9 kJ/mol of atoms; DOS(E_F) = 7.2 states/eV per cell
1.0
5.166 0.004 -1.589
-0.822 6.964 -2.654
0.043 -0.477 9.327
Ac In Er
1 6 5
Direct
0.000 0.000 0.000
0.173 0.436 0.347
0.173 0.911 0.347
0.500 0.275 0.000
0.500 0.725 0.000
0.827 0.089 0.653
0.827 0.564 0.653
0.340 0.840 0.679
0.669 0.669 0.339
0.000 0.500 0.000
0.331 0.331 0.661
0.660 0.160 0.321

=====

AcEr3In4 | Alexandria | PBE | relaxed; ΔE_f = -39.2 kJ/mol of atoms; DOS(E_F) = 8.4 states/eV per cell
1.0
-5.426 1.186 -0.706
-1.612 -3.673 6.223
1.257 9.167 5.736
Ac In Er
2 8 6
Direct
0.000 0.500 0.000
0.000 0.500 0.500
0.500 0.772 0.000
0.500 0.772 0.500
0.500 0.228 0.000
0.500 0.228 0.500
0.092 0.772 0.750
0.908 0.772 0.250
0.908 0.228 0.250
0.092 0.228 0.750
0.000 0.000 0.000
0.000 0.000 0.500
0.590 0.000 0.750
0.410 0.000 0.250
0.557 0.500 0.750
0.443 0.500 0.250

=====

Ac2ErIn | Alexandria | PBE | relaxed; ΔE_f = -8.9 kJ/mol of atoms; DOS(E_F) = 6.4 states/eV per cell
1.0
-0.478 4.676 -3.488
-5.204 2.572 -0.750
-1.014 5.282 2.309
Ac In Er
2 1 1
Direct
0.250 0.250 0.250
0.750 0.750 0.750
0.500 0.500 0.500
0.000 0.000 0.000